VASP calculation (PBE+U) on a relaxed structure of HoNpMnO6.

The structure in extended XYZ format:
```
18
Lattice="-0.972 -0.757 5.562 -2.652 -3.282 -3.827 6.749 -5.894 0.377" Properties=species:S:1:pos:R:3 pbc="T T T"
Ho -0.405 -3.914 -0.603
Ho 3.530 -6.019 2.715
Np 0.155 -3.072 2.526
Np 2.970 -6.861 -0.415
Mn 0.000 0.000 0.000
Mn 3.375 -2.947 0.189
O -1.455 -3.383 1.324
O -0.929 -2.599 4.180
O 1.371 -7.160 -1.634
O 4.055 -7.334 -2.068
O 1.255 -3.528 0.878
O -0.155 -5.001 3.089
O 2.663 -8.784 0.170
O 1.755 -2.772 3.746
O 3.281 -4.931 -0.977
O 0.462 -1.149 1.942
O 1.870 -6.405 1.234
O 4.580 -6.550 0.788
```

SG: No. 163
E_tot: -8.660 eV per atom
Calculated volume: 252.05 Å³ per cell